This record from Alexandria describes Li3AlBi at its PBEsol-relaxed geometry. The functional is meta-GGA SCAN.

Cell: 5.1584 5.1584 5.1584 Å, 90.00 90.00 90.00°
With the nearest neighbours (Å) after each atom.
Sites, in units of the cell vectors:
Li (0.0000, 0.0000, 0.5000)  2 Bi 2.58
Li (0.0000, 0.5000, 0.0000)  2 Bi 2.58
Li (0.5000, 0.0000, 0.0000)  2 Bi 2.58
Bi (0.0000, 0.0000, 0.0000)  6 Li 2.58
Al (0.5000, 0.5000, 0.5000)  12 Li 3.65

Results
The raw total energy is -92.62 eV/cell. The space group is Pm-3m.



This record from Alexandria describes Ca2HgSb at its PBEsol-relaxed geometry. The functional is meta-GGA SCAN.

Cell: 5.3272 5.3272 5.3289 Å, 60.01 60.01 60.00°
With the nearest neighbours (Å) after each atom.
Sites, in units of the cell vectors:
Hg (0.5000, 0.5000, 0.5000)  8 Ca 3.26
Sb (0.0000, 0.0000, 0.0000)  8 Ca 3.26
Ca (0.7501, 0.7501, 0.7498)  4 Hg 3.26, 4 Sb 3.26
Ca (0.2499, 0.2499, 0.2502)  4 Hg 3.26, 4 Sb 3.26

Results
Its polymorph energy (0 for the lowest one) is 0.096 eV/atom. The raw total energy is -128.10 eV/cell. The uncorrected formation energy is -0.84 eV per atom. The space group is Fm-3m.



This record from Alexandria describes Li2YCd at its PBEsol-relaxed geometry. The functional is meta-GGA SCAN.

Cell: 4.6848 5.1359 4.6848 Å, 62.87 90.00 117.13°
With the nearest neighbours (Å) after each atom.
Sites, in units of the cell vectors:
Li (0.0000, 0.0000, 0.0000)  4 Li 3.06, 4 Cd 3.06, 4 Y 3.31
Li (0.2500, 0.5000, 0.2500)  4 Li 3.06, 4 Y 3.06, 4 Cd 3.31
Cd (0.7500, 0.5000, 0.7500)  8 Li 3.06-3.31, 4 Y 3.06
Y (0.5000, 0.0000, 0.5000)  4 Cd 3.06, 8 Li 3.06-3.31

Results
Its polymorph energy (0 for the lowest one) is 0.016 eV/atom. The raw total energy is -63.65 eV/cell. The space group is I-4m2.



This record from Alexandria describes MnHg4Sb at its PBEsol-relaxed geometry. The functional is meta-GGA SCAN.

Cell: 5.7857 5.7857 5.7857 Å, 60.00 60.00 60.00°
With the nearest neighbours (Å) after each atom.
Sites, in units of the cell vectors:
Hg (0.3752, 0.3752, 0.3752)  6 Hg 2.89-2.90
Hg (0.8743, 0.3752, 0.3752)  6 Hg 2.89-2.90
Hg (0.3752, 0.3752, 0.8743)  6 Hg 2.89-2.90
Hg (0.3752, 0.8743, 0.3752)  6 Hg 2.89-2.90
Sb (0.0000, 0.0000, 0.0000)  12 Hg 3.39, 4 Mn 3.54
Mn (0.7500, 0.7500, 0.7500)  12 Hg 3.39, 4 Sb 3.54

Results
The raw total energy is -325.95 eV/cell. The uncorrected formation energy is 0.37 eV per atom. The space group is F-43m.



This record from Alexandria describes SiRuCl2 at its PBEsol-relaxed geometry. The functional is meta-GGA SCAN.

Cell: 2.9065 2.9065 9.0451 Å, 80.75 80.75 60.00°
With the nearest neighbours (Å) after each atom.
Sites, in units of the cell vectors:
Cl (0.9168, 0.9168, 0.2496)  1 Ru 2.22
Cl (0.0832, 0.0832, 0.7504)  1 Ru 2.22
Si (0.5000, 0.5000, 0.5000)  6 Cl 2.79, 6 Si 2.91
Ru (0.0000, 0.0000, 0.0000)  2 Cl 2.22

Results
Its polymorph energy (0 for the lowest one) is 0.541 eV/atom. The raw total energy is -58.98 eV/cell. The uncorrected formation energy is 0.45 eV per atom. The space group is R-3m.



This record from Alexandria describes UBr3 at its PBEsol-relaxed geometry. The functional is meta-GGA SCAN.

Cell: 8.0098 8.0098 4.0411 Å, 90.00 90.00 120.00°
With the nearest neighbours (Å) after each atom.
Sites, in units of the cell vectors:
Br (0.0840, 0.3829, 0.7500)  3 U 2.95-3.16
Br (0.6171, 0.7011, 0.7500)  3 U 2.95-3.16
Br (0.9160, 0.6171, 0.2500)  3 U 2.95-3.16
Br (0.7011, 0.0840, 0.2500)  3 U 2.95-3.16
Br (0.3829, 0.2989, 0.2500)  3 U 2.95-3.16
Br (0.2989, 0.9160, 0.7500)  3 U 2.95-3.16
U (0.6667, 0.3333, 0.7500)  9 Br 2.95-3.16
U (0.3333, 0.6667, 0.2500)  9 Br 2.95-3.16

Results
The raw total energy is -334.43 eV/cell. The uncorrected formation energy is -1.33 eV per atom. The space group is P6_3/m.